# 1
VASP calculation (meta-GGA SCAN) on KRhSe4 at its PBEsol-relaxed geometry.

Unit cell a=5.636 b=5.636 c=5.636 alpha=60.00 beta=60.00 gamma=60.00
Sites, in units of the cell vectors:
Se: 0.373 0.373 0.373
Se: 0.373 0.880 0.373
Se: 0.880 0.373 0.373
Se: 0.373 0.373 0.880
Rh: 0.000 0.000 0.000
K: 0.750 0.750 0.750

The total energy is -19.972 eV/atom. The symmetry is F-43m, No. 216. The value obtained for the formation energy (no corrections) is 0.431 eV per atom. The total magnetic moment is 0.317 μB/atom.

# 2
VASP calculation (meta-GGA SCAN) on LaZnSe at its PBEsol-relaxed geometry.

Unit cell a=3.663 b=3.663 c=5.664 alpha=108.87 beta=108.87 gamma=90.00
Sites, in units of the cell vectors:
Zn: 0.318 0.318 0.635
La: 0.002 0.002 0.004
Se: 0.680 0.680 0.360

The total energy is -26.472 eV/atom. The symmetry is I4mm, No. 107. For the energy above the most stable polymorph in this dataset, the calculation gives 0.0000 eV/atom. The value obtained for the formation energy (no corrections) is -0.905 eV per atom. The total magnetic moment is 0.257 μB/atom.

# 3
VASP calculation (meta-GGA SCAN) on BaAsOs2 at its PBEsol-relaxed geometry.

Unit cell a=2.914 b=4.987 c=5.313 alpha=90.00 beta=90.00 gamma=90.00
Sites, in units of the cell vectors:
As: 0.500 0.000 0.500
Os: 0.000 0.000 0.000
Os: 0.500 0.500 0.000
Ba: 0.000 0.500 0.500

The total energy is -49.506 eV/atom. The symmetry is Pmmm, No. 47. For the calculated formation energy, the calculation gives 1369 meV per atom. The total magnetic moment is 0.001 μB/atom.

# 4
VASP calculation (meta-GGA SCAN) on HgP2Os at its PBEsol-relaxed geometry.

Unit cell a=2.945 b=2.945 c=9.427 alpha=81.02 beta=81.02 gamma=60.00
Sites, in units of the cell vectors:
P: 0.271 0.271 0.187
P: 0.729 0.729 0.813
Os: 0.000 0.000 0.000
Hg: 0.500 0.500 0.500

The total energy is -40.010 eV/atom. The symmetry is R-3m, No. 166. For the calculated formation energy, the calculation gives 201 meV per atom. The total magnetic moment is 0.000 μB/atom.

# 5
VASP calculation (meta-GGA SCAN) on BaH3F at its PBEsol-relaxed geometry.

Unit cell a=3.948 b=3.948 c=3.948 alpha=90.00 beta=90.00 gamma=90.00
Sites, in units of the cell vectors:
F: 0.000 0.000 0.000
H: 0.500 0.000 0.000
H: 0.000 0.500 0.000
H: 0.000 0.000 0.500
Ba: 0.500 0.500 0.500

The total energy is -10.705 eV/atom. The symmetry is Pm-3m, No. 221. For the energy above the most stable polymorph in this dataset, the calculation gives 0.0000 eV/atom. The total magnetic moment is 0.400 μB/atom.

# 6
VASP calculation (meta-GGA SCAN) on Tl3Cd4 at its PBEsol-relaxed geometry.

Unit cell a=3.223 b=3.223 c=16.511 alpha=95.60 beta=95.60 gamma=90.00
Sites, in units of the cell vectors:
Tl: 0.292 0.292 0.584
Tl: 0.708 0.708 0.416
Tl: 0.000 0.000 0.000
Cd: 0.136 0.136 0.271
Cd: 0.864 0.864 0.729
Cd: 0.426 0.426 0.852
Cd: 0.574 0.574 0.148

The total energy is -48.338 eV/atom. The symmetry is I4/mmm, No. 139. For the calculated formation energy, the calculation gives 52 meV per atom. The total magnetic moment is 0.000 μB/atom.

# 7
VASP calculation (meta-GGA SCAN) on Li2NbMoRu at its PBEsol-relaxed geometry.

Unit cell a=4.313 b=4.313 c=4.456 alpha=90.00 beta=90.00 gamma=90.00
Sites, in units of the cell vectors:
Li: 0.500 0.000 0.000
Li: 0.000 0.500 0.000
Mo: 0.000 0.000 0.000
Ru: 0.000 0.000 0.500
Nb: 0.500 0.500 0.500

The total energy is -20.163 eV/atom. The symmetry is P4/mmm, No. 123. For the calculated formation energy, the calculation gives 1361 meV per atom. The total magnetic moment is 0.047 μB/atom.

# 8
VASP calculation (meta-GGA SCAN) on HoLuHg2 at its PBEsol-relaxed geometry.

Unit cell a=5.106 b=5.106 c=5.106 alpha=60.00 beta=60.00 gamma=60.00
Sites, in units of the cell vectors:
Ho: 0.000 0.000 0.000
Lu: 0.500 0.500 0.500
Hg: 0.750 0.750 0.750
Hg: 0.250 0.250 0.250

The total energy is -60.866 eV/atom. The symmetry is Fm-3m, No. 225. For the calculated formation energy, the calculation gives -700 meV per atom. The total magnetic moment is 0.000 μB/atom.

# 9
VASP calculation (meta-GGA SCAN) on KH4PbI3O2 at its PBEsol-relaxed geometry.

Unit cell a=4.472 b=10.250 c=21.891 alpha=90.00 beta=90.00 gamma=90.00
Sites, in units of the cell vectors:
Pb: 0.248 0.545 0.406
Pb: 0.748 0.955 0.906
Pb: 0.248 0.045 0.094
Pb: 0.748 0.455 0.594
H: 0.553 0.985 0.502
H: 0.260 0.474 0.145
H: 0.053 0.015 0.498
H: 0.553 0.485 0.998
H: 0.260 0.974 0.355
H: 0.252 0.141 0.512
H: 0.255 0.574 0.090
H: 0.053 0.515 0.002
H: 0.255 0.074 0.410
H: 0.760 0.026 0.645
H: 0.752 0.859 0.488
H: 0.755 0.426 0.910
H: 0.752 0.359 0.012
H: 0.252 0.641 0.988
H: 0.755 0.926 0.590
H: 0.760 0.526 0.855
I: 0.747 0.255 0.128
I: 0.747 0.839 0.049
I: 0.747 0.755 0.372
I: 0.247 0.661 0.549
I: 0.253 0.921 0.221
I: 0.247 0.161 0.951
I: 0.247 0.245 0.628
I: 0.753 0.579 0.721
I: 0.747 0.339 0.451
I: 0.247 0.745 0.872
I: 0.253 0.421 0.279
I: 0.753 0.079 0.779
O: 0.257 0.568 0.136
O: 0.250 0.060 0.488
O: 0.757 0.932 0.636
O: 0.750 0.940 0.512
O: 0.250 0.560 0.012
O: 0.750 0.440 0.988
O: 0.257 0.068 0.364
O: 0.757 0.432 0.864
K: 0.256 0.849 0.699
K: 0.756 0.151 0.301
K: 0.256 0.349 0.801
K: 0.756 0.651 0.199

The total energy is -21.106 eV/atom. The symmetry is Pna2_1, No. 33. The total magnetic moment is 0.000 μB/atom.

# 10
VASP calculation (meta-GGA SCAN) on SrZrBe2W at its PBEsol-relaxed geometry.

Unit cell a=4.763 b=4.763 c=4.763 alpha=90.00 beta=90.00 gamma=90.00
Sites, in units of the cell vectors:
Be: 0.500 0.000 0.000
Be: 0.000 0.500 0.000
Sr: 0.500 0.500 0.500
W: 0.000 0.000 0.000
Zr: 0.000 0.000 0.500

The total energy is -25.480 eV/atom. The symmetry is P4/mmm, No. 123. For the calculated formation energy, the calculation gives 793 meV per atom. The total magnetic moment is 0.000 μB/atom.

# 11
VASP calculation (meta-GGA SCAN) on ZrAl2Cu at its PBEsol-relaxed geometry.

Unit cell a=2.907 b=2.907 c=9.141 alpha=80.85 beta=80.85 gamma=60.00
Sites, in units of the cell vectors:
Al: 0.240 0.240 0.279
Al: 0.760 0.760 0.721
Zr: 0.000 0.000 0.000
Cu: 0.500 0.500 0.500

The total energy is -15.478 eV/atom. The symmetry is R-3m, No. 166. For the calculated formation energy, the calculation gives -127 meV per atom. The total magnetic moment is 0.000 μB/atom.

# 12
VASP calculation (meta-GGA SCAN) on In2CuTc at its PBEsol-relaxed geometry.

Unit cell a=2.928 b=4.125 c=5.648 alpha=90.00 beta=90.00 gamma=90.00
Sites, in units of the cell vectors:
In: 0.500 0.500 0.290
In: 0.000 0.000 0.968
Tc: 0.000 0.000 0.493
Cu: 0.500 0.500 0.749

The total energy is -28.875 eV/atom. The symmetry is Pmm2, No. 25. For the calculated formation energy, the calculation gives 383 meV per atom. For the energy above the most stable polymorph in this dataset, the calculation gives 0.1919 eV/atom. The total magnetic moment is 0.000 μB/atom.

Going through the records in order, we get Fermi-level density of states values of 4.24; 1.42; 4.30; 1.47; 0.85; 2.68; 3.98; 2.03; 0.00; 3.14; 1.36; 2.64 states/eV/f.u..